## Sr3P4Rh13 (PBE)

Data for crystalline Sr3P4Rh13 at its relaxed geometry.

Calculated values
As for the total energy: -6.614 eV/atom. The calculation puts the total moment at 0.00 Bohr magnetons per cell. Its theoretical density is 8.333 Mg/m³. As for the space group: Pm-3n. The formation energy comes out at -502 meV per atom.

Cell and atoms, written as POSCAR:
```
Sr3P4Rh13
1.0
8.825 0.000 0.000
0.000 8.825 0.000
0.000 0.000 8.825
Sr P Rh
6 8 26
Cartesian
0.000 2.206 4.413 Sr
0.000 6.619 4.413 Sr
2.206 4.413 0.000 Sr
4.413 0.000 2.206 Sr
4.413 0.000 6.619 Sr
6.619 4.413 0.000 Sr
2.206 2.206 2.206 P
2.206 2.206 6.619 P
2.206 6.619 2.206 P
2.206 6.619 6.619 P
6.619 2.206 2.206 P
6.619 2.206 6.619 P
6.619 6.619 2.206 P
6.619 6.619 6.619 P
0.000 0.000 0.000 Rh
0.000 2.329 1.389 Rh
0.000 2.329 7.436 Rh
0.000 6.496 1.389 Rh
0.000 6.496 7.436 Rh
1.389 0.000 2.329 Rh
1.389 0.000 6.496 Rh
2.083 4.413 3.024 Rh
2.083 4.413 5.801 Rh
2.329 1.389 0.000 Rh
2.329 7.436 0.000 Rh
3.024 2.083 4.413 Rh
3.024 6.742 4.413 Rh
4.413 3.024 2.083 Rh
4.413 3.024 6.742 Rh
4.413 4.413 4.413 Rh
4.413 5.801 2.083 Rh
4.413 5.801 6.742 Rh
5.801 2.083 4.413 Rh
5.801 6.742 4.413 Rh
6.496 1.389 0.000 Rh
6.496 7.436 0.000 Rh
6.742 4.413 3.024 Rh
6.742 4.413 5.801 Rh
7.436 0.000 2.329 Rh
7.436 0.000 6.496 Rh
```



## PmCo4Pd (PBE)

Data for crystalline PmCo4Pd at its relaxed geometry.

Calculated values
As for the total energy: -6.463 eV/atom. The calculation puts the total moment at 6.61 Bohr magnetons per cell. Its theoretical density is 9.233 Mg/m³. As for the space group: F-43m. The formation energy comes out at -69 meV per atom.

Cell and atoms, written as POSCAR:
```
PmCo4Pd
1.0
0.000 3.525 3.525
3.525 0.000 3.525
3.525 3.525 0.000
Pm Co Pd
1 4 1
Cartesian
0.000 0.000 0.000 Pm
4.397 2.654 2.654 Co
2.654 4.397 2.654 Co
2.654 2.654 4.397 Co
4.397 4.397 4.397 Co
1.763 1.763 1.763 Pd
```



## Ac4HIr2Au (PBE)

Data for crystalline Ac4HIr2Au at its relaxed geometry.

Calculated values
As for the total energy: -5.776 eV/atom. The calculation puts the total moment at 0.00 Bohr magnetons per cell. Its theoretical density is 10.749 Mg/m³. As for the space group: Cmcm.

Cell and atoms, written as POSCAR:
```
Ac4HIr2Au
1.0
2.171 -7.099 0.000
2.171 7.099 0.000
0.000 0.000 14.941
Ac H Ir Au
8 2 4 2
Cartesian
0.000 0.000 0.000 Ac
0.000 0.000 7.470 Ac
2.171 3.292 9.189 Ac
2.171 3.292 13.222 Ac
2.171 0.903 3.735 Ac
2.171 -0.903 11.206 Ac
2.171 -3.292 1.718 Ac
2.171 -3.292 5.752 Ac
2.171 4.882 11.206 H
2.171 -4.882 3.735 H
2.171 1.856 0.948 Ir
2.171 1.856 6.522 Ir
2.171 -1.856 8.418 Ir
2.171 -1.856 13.993 Ir
2.171 5.484 3.735 Au
2.171 -5.484 11.206 Au
```